# 1
A plane-wave DFT calculation with PBE was carried out for a geometry-optimized BaZn2HgF8 structure.

Cell: 8.381 8.381 8.381 Å, 37.13 37.13 37.13°
Atoms (fractional coordinates):
Ba 0.000 0.000 0.000
Zn 0.246 0.246 0.246
Zn 0.754 0.754 0.754
Hg 0.500 0.500 0.500
F 0.113 0.408 0.788
F 0.212 0.592 0.887
F 0.329 0.329 0.329
F 0.408 0.788 0.113
F 0.592 0.887 0.212
F 0.671 0.671 0.671
F 0.788 0.113 0.408
F 0.887 0.212 0.592

size of the total moment = 0.000 μB per atom
formation energy without anion corrections = -28.5 eV per formula unit
total DFT energy (no corrections) = -4.02 eV/atom
N(E_F) = 0.00 states/eV/atom



# 2
A plane-wave DFT calculation with PBE was carried out for a geometry-optimized Ba2HoF6 structure.

Cell: 7.269 7.269 7.269 Å, 147.98 126.87 63.40°
Atoms (fractional coordinates):
Ba 0.153 0.153 0.000
Ba 0.847 0.847 0.000
Ho 0.500 0.500 0.000
F 0.143 0.346 0.797
F 0.313 0.000 0.313
F 0.450 0.654 0.797
F 0.550 0.346 0.203
F 0.687 0.000 0.687
F 0.857 0.654 0.203

size of the total moment = 0.110 μB per atom
formation energy without anion corrections = -33.4 eV per formula unit
total DFT energy (no corrections) = -5.90 eV/atom
N(E_F) = 0.06 states/eV/atom



# 3
A plane-wave DFT calculation with PBE was carried out for a geometry-optimized Ba2HoF8 structure.

Cell: 7.986 7.986 5.765 Å, 110.52 110.52 30.99°
Atoms (fractional coordinates):
Ba 0.167 0.167 0.179
Ba 0.833 0.833 0.821
Ho 0.500 0.500 0.500
F 0.010 0.010 0.306
F 0.221 0.221 0.777
F 0.364 0.364 0.554
F 0.407 0.407 0.106
F 0.593 0.593 0.894
F 0.636 0.636 0.446
F 0.779 0.779 0.223
F 0.990 0.990 0.694

size of the total moment = 0.102 μB per atom
formation energy without anion corrections = -39.3 eV per formula unit
total DFT energy (no corrections) = -5.70 eV/atom
N(E_F) = 1.25 states/eV/atom



# 4
A plane-wave DFT calculation with PBE was carried out for a geometry-optimized BaHo2F7 structure.

Cell: 6.661 6.661 4.290 Å, 90.00 90.00 116.40°
Atoms (fractional coordinates):
Ba 0.000 0.000 0.000
Ho 0.311 0.689 0.500
Ho 0.689 0.311 0.500
F 0.044 0.329 0.500
F 0.256 0.744 0.000
F 0.329 0.044 0.500
F 0.500 0.500 0.500
F 0.671 0.956 0.500
F 0.744 0.256 0.000
F 0.956 0.671 0.500

size of the total moment = 0.048 μB per atom
formation energy without anion corrections = -38.3 eV per formula unit
total DFT energy (no corrections) = -6.25 eV/atom
N(E_F) = 0.14 states/eV/atom



# 5
A plane-wave DFT calculation with PBE was carried out for a geometry-optimized Ba2Li3HoF12 structure.

Cell: 7.181 7.181 7.181 Å, 58.18 58.18 58.18°
Atoms (fractional coordinates):
Ba 0.107 0.107 0.107
Ba 0.893 0.893 0.893
Li 0.000 0.500 0.500
Li 0.500 0.000 0.500
Li 0.500 0.500 0.000
Ho 0.500 0.500 0.500
F 0.103 0.634 0.634
F 0.224 0.224 0.645
F 0.224 0.645 0.224
F 0.355 0.776 0.776
F 0.366 0.366 0.897
F 0.366 0.897 0.366
F 0.634 0.103 0.634
F 0.634 0.634 0.103
F 0.645 0.224 0.224
F 0.776 0.355 0.776
F 0.776 0.776 0.355
F 0.897 0.366 0.366

size of the total moment = 0.116 μB per atom
formation energy without anion corrections = -55.0 eV per formula unit
total DFT energy (no corrections) = -5.09 eV/atom
N(E_F) = 0.97 states/eV/atom



# 6
A plane-wave DFT calculation with PBE was carried out for a geometry-optimized BaLiHoF6 structure.

Cell: 5.617 5.617 11.347 Å, 90.00 90.00 120.00°
Atoms (fractional coordinates):
Ba 0.000 0.000 0.000
Ba 0.000 0.000 0.500
Li 0.333 0.667 0.250
Li 0.667 0.333 0.750
Ho 0.333 0.667 0.750
Ho 0.667 0.333 0.250
F 0.009 0.373 0.145
F 0.009 0.635 0.355
F 0.365 0.373 0.355
F 0.365 0.991 0.145
F 0.373 0.009 0.645
F 0.373 0.365 0.855
F 0.627 0.635 0.145
F 0.627 0.991 0.355
F 0.635 0.009 0.855
F 0.635 0.627 0.645
F 0.991 0.365 0.645
F 0.991 0.627 0.855

size of the total moment = 0.000 μB per atom
formation energy without anion corrections = -33.8 eV per formula unit
total DFT energy (no corrections) = -5.94 eV/atom
N(E_F) = 0.00 states/eV/atom



# 7
A plane-wave DFT calculation with PBE was carried out for a geometry-optimized BaNa2HoF8 structure.

Cell: 7.103 7.103 7.103 Å, 132.73 132.73 69.08°
Atoms (fractional coordinates):
Ba 0.000 0.000 0.000
Na 0.250 0.750 0.500
Na 0.500 0.500 0.000
Ho 0.750 0.250 0.500
F 0.104 0.139 0.517
F 0.104 0.587 0.965
F 0.413 0.378 0.517
F 0.413 0.896 0.035
F 0.622 0.139 0.035
F 0.622 0.587 0.483
F 0.861 0.378 0.965
F 0.861 0.896 0.483

size of the total moment = 0.093 μB per atom
formation energy without anion corrections = -38.7 eV per formula unit
total DFT energy (no corrections) = -5.24 eV/atom
N(E_F) = 1.00 states/eV/atom



# 8
A plane-wave DFT calculation with PBE was carried out for a geometry-optimized Ba2NaHoF8 structure.

Cell: 7.215 7.215 7.215 Å, 131.46 131.46 71.09°
Atoms (fractional coordinates):
Ba 0.000 0.000 0.000
Ba 0.750 0.250 0.500
Na 0.500 0.500 0.000
Ho 0.250 0.750 0.500
F 0.144 0.094 0.508
F 0.144 0.636 0.050
F 0.364 0.414 0.508
F 0.364 0.856 0.950
F 0.586 0.094 0.950
F 0.586 0.636 0.492
F 0.906 0.414 0.050
F 0.906 0.856 0.492

size of the total moment = 0.000 μB per atom
formation energy without anion corrections = -45.1 eV per formula unit
total DFT energy (no corrections) = -5.81 eV/atom
N(E_F) = 0.00 states/eV/atom



# 9
A plane-wave DFT calculation with PBE was carried out for a geometry-optimized Rb2BaHoF8 structure.

Cell: 7.404 7.404 7.404 Å, 129.91 129.91 73.55°
Atoms (fractional coordinates):
Rb 0.000 0.000 0.000
Rb 0.750 0.250 0.500
Ba 0.500 0.500 0.000
Ho 0.250 0.750 0.500
F 0.160 0.083 0.517
F 0.160 0.643 0.077
F 0.357 0.434 0.517
F 0.357 0.840 0.923
F 0.566 0.083 0.923
F 0.566 0.643 0.483
F 0.917 0.434 0.077
F 0.917 0.840 0.483

size of the total moment = 0.094 μB per atom
formation energy without anion corrections = -39.1 eV per formula unit
total DFT energy (no corrections) = -5.21 eV/atom
N(E_F) = 1.16 states/eV/atom



# 10
A plane-wave DFT calculation with PBE was carried out for a geometry-optimized BaHoS2F structure.

Cell: 4.080 4.080 14.506 Å, 90.00 90.00 90.00°
Atoms (fractional coordinates):
Ba 0.250 0.250 0.115
Ba 0.750 0.750 0.885
Ho 0.250 0.250 0.612
Ho 0.750 0.750 0.388
S 0.250 0.250 0.412
S 0.250 0.250 0.782
S 0.750 0.750 0.218
S 0.750 0.750 0.588
F 0.250 0.750 0.000
F 0.750 0.250 0.000

size of the total moment = 0.000 μB per atom
formation energy without anion corrections = -12.7 eV per formula unit
total DFT energy (no corrections) = -5.87 eV/atom